one.
VASP calculation (PBE-GGA) on a geometry-optimized Ba2Na2Ca structure.

Cell lengths 10.895, 10.895, 4.204 Å; angles 90.00, 90.00, 90.00 degrees
Space group P4/mbm (No. 127)
Symmetry-distinct sites (fractional):
Ba: 0.140 0.360 0.000 (multiplicity 4)
Na: 0.158 0.658 0.500 (multiplicity 4)
Ca: 0.000 0.000 0.000 (multiplicity 2)

The volume is 250 Å³/f.u. Its magnetization is 0.020 μB/f.u.

=====

two.
VASP calculation (PBE-GGA) on a geometry-optimized Ba2Na2Ca structure.

Cell lengths 9.722, 9.722, 5.250 Å; angles 90.00, 90.00, 90.00 degrees
Space group P4/mbm (No. 127)
Symmetry-distinct sites (fractional):
Ba: 0.178 0.322 0.000 (multiplicity 4)
Na: 0.123 0.623 0.500 (multiplicity 4)
Ca: 0.000 0.000 0.500 (multiplicity 2)

The volume is 248 Å³/f.u. Its magnetization is 0.000 μB/f.u.

=====

three.
VASP calculation (PBE-GGA) on a geometry-optimized Ba2Na2Ca structure.

Cell lengths 5.896, 19.322, 4.332 Å; angles 90.00, 90.00, 90.00 degrees
Space group Cmmm (No. 65)
Symmetry-distinct sites (fractional):
Ba: 0.000 0.112 0.000 (multiplicity 4)
Na: 0.000 0.299 0.500 (multiplicity 4)
Ca: 0.000 0.500 0.500 (multiplicity 2)

The volume is 247 Å³/f.u. Its magnetization is 0.000 μB/f.u.

=====

four.
VASP calculation (PBE-GGA) on a geometry-optimized Ba2Na2Ca structure.

Cell lengths 4.605, 4.605, 24.103 Å; angles 90.00, 90.00, 90.00 degrees
Space group I4/mmm (No. 139)
Symmetry-distinct sites (fractional):
Ba: 0.000 0.000 0.107 (multiplicity 4)
Na: 0.000 0.500 0.250 (multiplicity 4)
Ca: 0.000 0.000 0.500 (multiplicity 2)

The volume is 256 Å³/f.u. Its magnetization is 0.000 μB/f.u.

=====

Which one sits at the bottom of the stability order? one does.

=====

one.
VASP calculation (PBE-GGA) on a geometry-optimized Ba2NaCa structure.

Cell lengths 4.704, 4.704, 9.513 Å; angles 90.00, 90.00, 90.00 degrees
Space group P4/mmm (No. 123)
Symmetry-distinct sites (fractional):
Ba: 0.000 0.000 0.244 (multiplicity 2)
Na: 0.500 0.500 0.000 (multiplicity 1)
Ca: 0.500 0.500 0.500 (multiplicity 1)

The volume is 211 Å³/f.u. Its magnetization is 0.123 μB/f.u.

=====

two.
VASP calculation (PBE-GGA) on a geometry-optimized Ba2NaCa structure.

Cell lengths 4.0539, 4.0539, 42.6052 Å; angles 90.00, 90.00, 120.00 degrees
Space group R-3m (No. 166, hexagonal axes)
Symmetry-distinct sites (fractional):
Ba: 0.0000 0.0000 0.0874 (multiplicity 6)
Na: 0.0000 0.0000 0.5000 (multiplicity 3)
Ca: 0.0000 0.0000 0.0000 (multiplicity 3)

The volume is 202 Å³/f.u. Its magnetization is 0.000 μB/f.u.

=====

three.
VASP calculation (PBE-GGA) on a geometry-optimized Ba2NaCa structure.

Cell lengths 10.271, 10.271, 7.833 Å; angles 90.00, 90.00, 90.00 degrees
Space group I-42d (No. 122)
Symmetry-distinct sites (fractional):
Ba: 0.227 0.750 0.125 (multiplicity 8)
Na: 0.000 0.000 0.000 (multiplicity 4)
Ca: 0.000 0.000 0.500 (multiplicity 4)

The volume is 207 Å³/f.u. Its magnetization is 0.000 μB/f.u.

=====

four.
VASP calculation (PBE-GGA) on a geometry-optimized Ba2NaCa structure.

Cell lengths 9.489, 9.489, 9.489 Å; angles 90.00, 90.00, 90.00 degrees
Space group Fm-3m (No. 225)
Symmetry-distinct sites (fractional):
Ba: 0.250 0.250 0.250 (multiplicity 8)
Na: 0.000 0.000 0.000 (multiplicity 4)
Ca: 0.000 0.000 0.500 (multiplicity 4)

The volume is 214 Å³/f.u. Its magnetization is 0.000 μB/f.u.

=====

Which one sits at the bottom of the stability order? three does.

=====

one.
VASP calculation (PBE-GGA) on a geometry-optimized BaNa3Ca structure.

Cell lengths 6.396, 6.396, 6.396 Å; angles 90.00, 90.00, 90.00 degrees
Space group Pm-3m (No. 221)
Symmetry-distinct sites (fractional):
Ba: 0.000 0.000 0.000 (multiplicity 1)
Na: 0.000 0.500 0.500 (multiplicity 3)
Ca: 0.500 0.500 0.500 (multiplicity 1)

The volume is 262 Å³/f.u. Its magnetization is 0.000 μB/f.u.

=====

two.
VASP calculation (PBE-GGA) on a geometry-optimized BaNa3Ca structure.

Cell lengths 7.0642, 7.0642, 32.5313 Å; angles 90.00, 90.00, 120.00 degrees
Space group R-3m (No. 166, hexagonal axes)
Symmetry-distinct sites (fractional):
Ba: 0.0000 0.0000 0.1889 (multiplicity 6)
Na: 0.0024 0.5012 0.7433 (multiplicity 18)
Ca: 0.0000 0.0000 0.3132 (multiplicity 6)

The volume is 234 Å³/f.u. Its magnetization is 0.000 μB/f.u.

=====

Which one sits at the bottom of the stability order? one does.

=====

one.
VASP calculation (PBE-GGA) on a geometry-optimized Ba5NaCa structure.

Cell lengths 14.352, 7.787, 15.570 Å; angles 90.00, 109.39, 90.00 degrees
Space group C2/c (No. 15)
Symmetry-distinct sites (fractional):
Ba: 0.000 0.234 0.250 (multiplicity 4)
Ba: 0.163 0.489 0.029 (multiplicity 8)
Ba: 0.232 0.016 0.694 (multiplicity 8)
Na: 0.000 0.000 0.000 (multiplicity 4)
Ca: 0.000 0.265 0.750 (multiplicity 4)

The volume is 410 Å³/f.u. Its magnetization is 0.000 μB/f.u.

=====

two.
VASP calculation (PBE-GGA) on a geometry-optimized Ba5NaCa structure.

Cell lengths 6.213, 6.213, 10.916 Å; angles 90.00, 90.00, 90.00 degrees
Space group P4/mmm (No. 123)
Symmetry-distinct sites (fractional):
Ba: 0.000 0.000 0.000 (multiplicity 1)
Ba: 0.000 0.500 0.285 (multiplicity 4)
Na: 0.000 0.000 0.500 (multiplicity 1)
Ca: 0.500 0.500 0.000 (multiplicity 1)

The volume is 421 Å³/f.u. Its magnetization is 0.002 μB/f.u.

=====

Which one sits at the bottom of the stability order? one does.

=====

one.
VASP calculation (PBE-GGA) on a geometry-optimized BaNaCa structure.

Cell lengths 6.4005, 6.4005, 4.1441 Å; angles 90.00, 90.00, 120.00 degrees
Space group P3m1 (No. 156)
Symmetry-distinct sites (fractional):
Ba: 0.0000 0.0000 0.0000 (multiplicity 1)
Na: 0.6667 0.3333 0.4519 (multiplicity 1)
Ca: 0.3333 0.6667 0.5225 (multiplicity 1)

The volume is 147 Å³/f.u. Its magnetization is 0.000 μB/f.u.

=====

two.
VASP calculation (PBE-GGA) on a geometry-optimized BaNaCa structure.

Cell lengths 7.104, 4.104, 19.726 Å; angles 90.00, 90.00, 90.00 degrees
Space group Cm (No. 8)
Symmetry-distinct sites (fractional):
Ba: 0.000 0.000 0.000 (multiplicity 2)
Ba: 0.000 0.000 0.495 (multiplicity 2)
Na: 0.168 0.500 0.171 (multiplicity 2)
Na: 0.336 0.000 0.324 (multiplicity 2)
Ca: 0.168 0.500 0.827 (multiplicity 2)
Ca: 0.334 0.000 0.668 (multiplicity 2)

The volume is 144 Å³/f.u. Its magnetization is 0.000 μB/f.u.

=====

Which one sits at the bottom of the stability order? one does.

=====

one.
VASP calculation (PBE-GGA) on a geometry-optimized BaNaCa structure.

Cell lengths 14.989, 4.133, 9.384 Å; angles 90.00, 90.00, 90.00 degrees
Space group Pnma (No. 62)
Symmetry-distinct sites (fractional):
Ba: 0.200 0.250 0.211 (multiplicity 4)
Na: 0.084 0.750 0.512 (multiplicity 4)
Ca: 0.052 0.250 0.843 (multiplicity 4)

The volume is 145 Å³/f.u. Its magnetization is 0.000 μB/f.u.

=====

two.
VASP calculation (PBE-GGA) on a geometry-optimized BaNaCa structure.

Cell lengths 7.340, 7.586, 10.403 Å; angles 90.00, 90.00, 90.00 degrees
Space group Imma (No. 74)
Symmetry-distinct sites (fractional):
Ba: 0.000 0.250 0.126 (multiplicity 4)
Na: 0.250 0.250 0.750 (multiplicity 4)
Ca: 0.000 0.000 0.500 (multiplicity 4)

The volume is 145 Å³/f.u. Its magnetization is 0.000 μB/f.u.

=====

three.
VASP calculation (PBE-GGA) on a geometry-optimized BaNaCa structure.

Cell lengths 4.429, 4.429, 14.716 Å; angles 90.00, 90.00, 90.00 degrees
Space group I4mm (No. 107)
Symmetry-distinct sites (fractional):
Ba: 0.000 0.000 0.000 (multiplicity 2)
Na: 0.000 0.000 0.674 (multiplicity 2)
Ca: 0.000 0.000 0.308 (multiplicity 2)

The volume is 144 Å³/f.u. Its magnetization is 0.000 μB/f.u.

=====

Which one sits at the bottom of the stability order? one does.

=====

one.
VASP calculation (PBE-GGA) on a geometry-optimized Ba6NaCa3 structure.

Cell lengths 11.675, 6.775, 14.332 Å; angles 90.00, 105.91, 90.00 degrees
Space group P2_1/m (No. 11)
Symmetry-distinct sites (fractional):
Ba: 0.042 0.250 0.403 (multiplicity 2)
Ba: 0.145 0.750 0.190 (multiplicity 2)
Ba: 0.253 0.250 0.994 (multiplicity 2)
Ba: 0.345 0.750 0.802 (multiplicity 2)
Ba: 0.346 0.250 0.304 (multiplicity 2)
Ba: 0.441 0.250 0.606 (multiplicity 2)
Na: 0.444 0.750 0.107 (multiplicity 2)
Ca: 0.041 0.750 0.893 (multiplicity 2)
Ca: 0.137 0.250 0.698 (multiplicity 2)
Ca: 0.252 0.750 0.492 (multiplicity 2)

The volume is 545 Å³/f.u. Its magnetization is 0.000 μB/f.u.

=====

two.
VASP calculation (PBE-GGA) on a geometry-optimized Ba6NaCa3 structure.

Cell lengths 7.346, 12.485, 14.427 Å; angles 90.00, 119.14, 90.00 degrees
Space group P2_1/c (No. 14)
Symmetry-distinct sites (fractional):
Ba: 0.010 0.163 0.061 (multiplicity 4)
Ba: 0.338 0.670 0.240 (multiplicity 4)
Ba: 0.387 0.167 0.453 (multiplicity 4)
Na: 0.000 0.000 0.500 (multiplicity 2)
Ca: 0.007 0.584 0.751 (multiplicity 4)
Ca: 0.500 0.000 0.000 (multiplicity 2)

The volume is 578 Å³/f.u. Its magnetization is 0.000 μB/f.u.

=====

Which one sits at the bottom of the stability order? two does.

=====

one.
VASP calculation (PBE-GGA) on a geometry-optimized Ba3Na8Ca structure.

Cell lengths 7.1975, 7.1975, 35.0670 Å; angles 90.00, 90.00, 120.00 degrees
Space group R3m (No. 160, hexagonal axes)
Symmetry-distinct sites (fractional):
Ba: 0.0000 0.0000 0.0000 (multiplicity 3)
Ba: 0.0000 0.0000 0.1274 (multiplicity 3)
Ba: 0.0000 0.0000 0.6228 (multiplicity 3)
Na: 0.0000 0.0000 0.3123 (multiplicity 3)
Na: 0.0000 0.0000 0.8139 (multiplicity 3)
Na: 0.0012 0.5006 0.5610 (multiplicity 9)
Na: 0.0023 0.5011 0.0645 (multiplicity 9)
Ca: 0.0000 0.0000 0.5001 (multiplicity 3)

The volume is 524 Å³/f.u. Its magnetization is 0.001 μB/f.u.

=====

two.
VASP calculation (PBE-GGA) on a geometry-optimized Ba3Na8Ca structure.

Cell lengths 7.1969, 7.1969, 11.6748 Å; angles 90.00, 90.00, 120.00 degrees
Space group P3m1 (No. 156)
Symmetry-distinct sites (fractional):
Ba: 0.0000 0.0000 0.0000 (multiplicity 1)
Ba: 0.0000 0.0000 0.3831 (multiplicity 1)
Ba: 0.3333 0.6667 0.8688 (multiplicity 1)
Na: 0.0087 0.5044 0.1942 (multiplicity 3)
Na: 0.3294 0.1647 0.6843 (multiplicity 3)
Na: 0.6667 0.3333 0.4414 (multiplicity 1)
Na: 0.6667 0.3333 0.9404 (multiplicity 1)
Ca: 0.3333 0.6667 0.5016 (multiplicity 1)

The volume is 524 Å³/f.u. Its magnetization is 0.000 μB/f.u.

=====

Which one sits at the bottom of the stability order? one does.

=====

one.
VASP calculation (PBE-GGA) on a geometry-optimized Ba6Na2Ca structure.

Cell lengths 16.175, 4.516, 14.417 Å; angles 90.00, 106.84, 90.00 degrees
Space group C2/m (No. 12)
Symmetry-distinct sites (fractional):
Ba: 0.026 0.000 0.337 (multiplicity 4)
Ba: 0.165 0.500 0.886 (multiplicity 4)
Ba: 0.187 0.500 0.593 (multiplicity 4)
Na: 0.151 0.500 0.185 (multiplicity 4)
Ca: 0.000 0.000 0.000 (multiplicity 2)

The volume is 504 Å³/f.u. Its magnetization is 0.000 μB/f.u.

=====

two.
VASP calculation (PBE-GGA) on a geometry-optimized Ba6Na2Ca structure.

Cell lengths 4.3148, 4.3148, 31.4223 Å; angles 90.00, 90.00, 120.00 degrees
Space group P-6m2 (No. 187)
Symmetry-distinct sites (fractional):
Ba: 0.0000 0.0000 0.0643 (multiplicity 2)
Ba: 0.0000 0.0000 0.2735 (multiplicity 2)
Ba: 0.3333 0.6667 0.3916 (multiplicity 2)
Na: 0.3333 0.6667 0.1679 (multiplicity 2)
Ca: 0.0000 0.0000 0.5000 (multiplicity 1)

The volume is 507 Å³/f.u. Its magnetization is 0.001 μB/f.u.

=====

Which one sits at the bottom of the stability order? two does.